No. 1
Computed, not measured: a relaxed RbZrTe2AuS crystal at the PBE-GGA level of DFT.

The final energy is -28.14 eV per formula unit.

It has space group Cmcm (No. 63), with a = 4.128 Å, b = 16.550 Å, c = 10.403 Å, α = 90.00°, β = 90.00° and γ = 90.00°. Symmetry generates all atoms from Rb at (0.000, 0.247, 0.250), Zr at (0.000, 0.500, 0.000), Te at (0.000, 0.128, 0.530), Au at (0.000, 0.040, 0.750) and S at (0.000, 0.450, 0.750).

=====

No. 2
Computed, not measured: a relaxed RbZrTeAuS2 crystal at the PBE-GGA level of DFT.

The final energy is -30.02 eV per formula unit.

It has space group Cmcm (No. 63), with a = 3.887 Å, b = 16.371 Å, c = 10.649 Å, α = 90.00°, β = 90.00° and γ = 90.00°. Symmetry generates all atoms from Rb at (0.000, 0.219, 0.250), Zr at (0.000, 0.000, 0.000), Te at (0.000, 0.090, 0.750), Au at (0.000, 0.468, 0.750) and S at (0.000, 0.396, 0.548).